A plane-wave DFT calculation with GGA-PBE was carried out for a relaxed structure of EuTeH.

Geometry as POSCAR:
```
EuTeH
1.0
4.2306 0.0000 0.0000
0.0000 7.8342 0.0000
0.0000 0.0000 7.9778
Eu H Te
4 4 4
Direct
0.2500 0.3141 0.4207 Eu
0.7500 0.6859 0.5793 Eu
0.7500 0.1859 0.9207 Eu
0.2500 0.8141 0.0793 Eu
0.2500 0.6125 0.4625 H
0.7500 0.3875 0.5375 H
0.7500 0.8875 0.9625 H
0.2500 0.1125 0.0375 H
0.2500 0.9850 0.6867 Te
0.7500 0.0150 0.3133 Te
0.7500 0.5150 0.1867 Te
0.2500 0.4850 0.8133 Te
```

Calculated values
energy = -6.403 eV/atom
ρ = 7.0 g cm⁻³
total moment = 25.92 Bohr magnetons per cell
symmetry = Pnma, No. 62